# 1
NdYMg2Au4 GGA-PBE relaxed; energy of formation from the pure elements = -17.4 kcal/mol of atoms; magnetic moment = 0.0000 μB/atom; VASP energy = -33.571 eV per formula unit; space group = R-3m
1.0
4.9801 0.0000 0.0000
2.4900 4.3129 0.0000
2.4900 1.4376 8.0703
Nd Y Mg Au
1 1 2 4
Direct
0.0000 0.0000 0.0000 Nd
0.5000 0.5000 0.5000 Y
0.7507 0.7507 0.7480 Mg
0.2493 0.2493 0.2520 Mg
0.3775 0.3775 0.8674 Au
0.8714 0.8714 0.3859 Au
0.1286 0.1286 0.6141 Au
0.6225 0.6225 0.1326 Au

# 2
NdY2MgAu4 GGA-PBE relaxed; energy of formation from the pure elements = -17.9 kcal/mol of atoms; magnetic moment = 0.0000 μB/atom; VASP energy = -38.612 eV per formula unit; space group = R-3m
1.0
5.0307 0.0000 0.0000
2.5153 4.3567 0.0000
2.5153 1.4522 8.3826
Nd Y Mg Au
1 2 1 4
Direct
0.0000 0.0000 0.0000 Nd
0.7571 0.7571 0.7287 Y
0.2429 0.2429 0.2713 Y
0.5000 0.5000 0.5000 Mg
0.3838 0.3838 0.8485 Au
0.8767 0.8767 0.3698 Au
0.1233 0.1233 0.6302 Au
0.6162 0.6162 0.1515 Au

# 3
NdYMgAu GGA-PBE relaxed; energy of formation from the pure elements = -9.0 kcal/mol of atoms; magnetic moment = 0.0000 μB/atom; VASP energy = -17.666 eV per formula unit; space group = F-43m
1.0
5.2860 0.0000 0.0000
2.6430 4.5778 0.0000
2.6430 1.5259 4.3160
Y Nd Mg Au
1 1 1 1
Direct
0.7500 0.7500 0.7500 Y
0.2500 0.2500 0.2500 Nd
0.5000 0.5000 0.5000 Mg
0.0000 0.0000 0.0000 Au

# 4
Nd2MgZn4Au3 GGA-PBE relaxed; energy of formation from the pure elements = -11.6 kcal/mol of atoms; magnetic moment = 0.0000 μB/atom; VASP energy = -31.099 eV per formula unit; space group = P-4m2
1.0
-0.7560 2.8692 2.9111
-2.2594 -2.7604 2.1339
9.8450 -3.4518 5.9589
Nd Mg Zn Au
2 1 4 3
Direct
0.5000 0.0000 0.2439 Nd
0.0000 0.5000 0.7561 Nd
0.5000 0.5000 0.5000 Mg
0.5000 0.5000 0.0000 Zn
0.0000 0.0000 0.0000 Zn
0.5000 0.0000 0.6441 Zn
0.0000 0.5000 0.3559 Zn
0.0000 0.0000 0.5000 Au
0.5000 0.0000 0.8598 Au
0.0000 0.5000 0.1402 Au

# 5
NdMgZn2Au4 GGA-PBE relaxed; energy of formation from the pure elements = -11.9 kcal/mol of atoms; magnetic moment = 0.0000 μB/atom; VASP energy = -26.140 eV per formula unit; space group = R-3m
1.0
-1.3222 -4.3414 0.0036
2.7700 -3.2143 1.6096
-2.9564 -1.4645 8.5614
Nd Mg Zn Au
1 1 2 4
Direct
0.0000 0.0000 0.0000 Nd
0.5000 0.5000 0.5000 Mg
0.7582 0.7582 0.7253 Zn
0.2418 0.2418 0.2747 Zn
0.3962 0.3962 0.8113 Au
0.8722 0.8722 0.3834 Au
0.1278 0.1278 0.6166 Au
0.6038 0.6038 0.1887 Au

# 6
NdMgZn2Au2 GGA-PBE relaxed; energy of formation from the pure elements = -12.7 kcal/mol of atoms; magnetic moment = 0.0000 μB/atom; VASP energy = -18.775 eV per formula unit; space group = P-3m1
1.0
-0.6459 -2.3927 3.8067
3.8393 2.3582 -0.5765
-2.8942 5.4255 2.9191
Nd Mg Zn Au
1 1 2 2
Direct
0.0000 0.0000 0.0000 Nd
0.0000 0.0000 0.5000 Mg
0.3333 0.6667 0.7048 Zn
0.6667 0.3333 0.2952 Zn
0.3333 0.6667 0.2804 Au
0.6667 0.3333 0.7196 Au

# 7
NdMgZn5Au2 GGA-PBE relaxed; energy of formation from the pure elements = -2.5 kcal/mol of atoms; magnetic moment = 0.0000 μB/atom; VASP energy = -20.263 eV per formula unit; space group = P4/mmm
1.0
4.8678 0.0000 0.0000
0.0000 4.8678 0.0000
0.0000 0.0000 7.7613
Nd Mg Zn Au
1 1 5 2
Direct
0.0000 0.0000 0.5000 Nd
0.0000 0.0000 0.0000 Mg
0.0000 0.5000 0.2558 Zn
0.5000 0.0000 0.2558 Zn
0.0000 0.5000 0.7442 Zn
0.5000 0.0000 0.7442 Zn
0.5000 0.5000 0.5000 Zn
0.5000 0.5000 0.1718 Au
0.5000 0.5000 0.8282 Au

# 8
NdMg2Zn2Au2 GGA-PBE relaxed; energy of formation from the pure elements = -10.2 kcal/mol of atoms; magnetic moment = 0.0000 μB/atom; VASP energy = -20.143 eV per formula unit; space group = R-3m
1.0
-1.4755 2.5113 -3.4773
-0.7125 -1.9239 -4.0455
-8.4517 -1.4044 -0.3866
Nd Mg Zn Au
1 2 2 2
Direct
0.0000 0.0000 0.0000 Nd
0.1334 0.1334 0.5997 Mg
0.8666 0.8666 0.4003 Mg
0.7444 0.7444 0.7669 Zn
0.2556 0.2556 0.2331 Zn
0.5822 0.5822 0.2533 Au
0.4178 0.4178 0.7467 Au

# 9
MgNi2Au GGA-PBE relaxed; energy of formation from the pure elements = -2.7 kcal/mol of atoms; magnetic moment = 0.2057 μB/atom; VASP energy = -16.904 eV per formula unit; space group = Pm
1.0
2.9580 0.0000 0.0000
0.0000 3.1012 -0.0068
0.0000 3.1220 6.2266
Au Mg Ni
1 1 2
Direct
0.0000 0.5206 0.4794 Au
0.5000 0.7258 0.7744 Mg
0.0000 0.9679 0.0321 Ni
0.5000 0.2857 0.2141 Ni

# 10
Mg2NiAu GGA-PBE relaxed; energy of formation from the pure elements = -8.4 kcal/mol of atoms; magnetic moment = 0.0000 μB/atom; VASP energy = -13.707 eV per formula unit; space group = P4/mmm
1.0
3.2170 0.0000 -0.0001
0.0000 3.2193 0.0000
0.0001 0.0000 6.2274
Mg Ni Au
2 1 1
Direct
0.0000 0.0000 0.7690 Mg
0.0000 0.0000 0.2310 Mg
0.5000 0.5000 0.0000 Ni
0.5000 0.5000 0.5000 Au

# 11
Mg2NiAu GGA-PBE relaxed; energy of formation from the pure elements = -7.2 kcal/mol of atoms; magnetic moment = 0.0000 μB/atom; VASP energy = -13.491 eV per formula unit; space group = Cm
1.0
-4.1225 -0.0472 -2.9733
-4.5730 -2.2114 0.1871
-2.8073 2.4218 1.2582
Au Mg Ni
1 2 1
Direct
0.7514 0.7514 0.7481 Au
0.0003 0.0003 0.9999 Mg
0.2485 0.2485 0.2511 Mg
0.4998 0.4998 0.5008 Ni

# 12
MgNiAu GGA-PBE relaxed; energy of formation from the pure elements = -5.4 kcal/mol of atoms; magnetic moment = 0.0000 μB/atom; VASP energy = -11.359 eV per formula unit; space group = Imm2
1.0
4.8650 0.0295 -0.0256
2.5481 4.1444 0.0256
-3.4499 -2.5428 2.3026
Au Mg Ni
1 1 1
Direct
0.0037 0.0037 0.0000 Au
0.3286 0.3286 0.0000 Mg
0.6678 0.6678 0.0000 Ni